DyYIr: optimized geometry, PBE.

abc: 3.4733 3.4733 12.7556
angles: 90.00 90.00 90.00
With the nearest neighbours (Å) after each atom.
Space group I4mm (No. 107)
One atom of each set of equivalent atoms:
Dy 0.0000 0.0000 0.0000 (multiplicity 2)  4 Ir 2.94, 1 Y 3.26
Y 0.0000 0.0000 0.2554 (multiplicity 2)  4 Ir 2.96, 1 Dy 3.26
Ir 0.0000 0.0000 0.6260 (multiplicity 2)  4 Dy 2.94, 4 Y 2.96

Computed properties:
ΔE_f, kJ/mol of atoms: -54.5